Record 1
Here is a PBEsol-optimized structure of Be7Ru6 from Alexandria via LeMat-Bulk. Energies are from SCAN.

Computed properties:
For the total energy, the calculation gives -242.894 eV per cell. The calculation puts the formation enthalpy at 0 K at -0.266 eV/atom. As for the volume: 133.7 Å³/cell.

Cell lengths 4.3479, 4.3479, 8.5423 Å; angles 75.26, 75.26, 60.00 degrees
Closest atoms and distances in Å follow each position.
Positions (direct):
Be 0.4070 0.9100 0.2761  5 Be 2.16-2.22
Be 0.5930 0.0900 0.7239  5 Be 2.16-2.22
Be 0.9100 0.4070 0.2761  5 Be 2.16-2.22
Be 0.5930 0.5930 0.7239  5 Be 2.16-2.22
Be 0.5000 0.5000 0.5000  6 Be 2.22
Be 0.0900 0.5930 0.7239  5 Be 2.16-2.22
Be 0.4070 0.4070 0.2761  5 Be 2.16-2.22
Ru 0.9521 0.9521 0.1436  2 Ru 2.34-2.55, 6 Be 2.43
Ru 0.8478 0.8478 0.4565  12 Be 2.51-2.63, 4 Ru 2.55-2.61
Ru 0.0479 0.0479 0.8564  2 Ru 2.34-2.55, 6 Be 2.43
Ru 0.3328 0.3328 0.0016  9 Ru 2.51-2.78, 6 Be 2.56-2.60
Ru 0.6672 0.6672 0.9984  9 Ru 2.51-2.78, 6 Be 2.56-2.60
Ru 0.1522 0.1522 0.5435  12 Be 2.51-2.63, 4 Ru 2.55-2.61



Record 2
Here is a PBEsol-optimized structure of MgPH16NO10 from Alexandria via LeMat-Bulk. Energies are from SCAN.

Computed properties:
For the total energy, the calculation gives -361.595 eV per cell. As for the volume: 464.9 Å³/cell.

Cell lengths 6.0099, 6.9199, 11.1793 Å; angles 90.00, 90.00, 90.00 degrees
Closest atoms and distances in Å follow each position.
Positions (direct):
P 0.9853 0.0000 0.9995  4 O 1.55
P 0.0147 0.5000 0.4995  4 O 1.55
O 0.1386 0.6850 0.4579  1 P 1.55, 3 H 1.57-1.62
O 0.7795 0.5000 0.4417  1 P 1.55, 3 H 1.56-1.69
O 0.4538 0.2964 0.0038  2 H 1.01-1.02
O 0.9743 0.0000 0.5537  2 H 1.02
O 0.0045 0.0000 0.1379  1 P 1.55, 2 H 1.63
O 0.2513 0.7261 0.2361  2 H 1.02
O 0.9955 0.5000 0.6379  1 P 1.55, 2 H 1.63
O 0.7487 0.7739 0.7361  2 H 1.02
O 0.8614 0.1850 0.9579  1 P 1.55, 3 H 1.57-1.62
O 0.1386 0.3150 0.4579  1 P 1.55, 3 H 1.57-1.62
O 0.5462 0.2036 0.5038  2 H 1.01-1.02
O 0.0257 0.5000 0.0537  2 H 1.02
O 0.4538 0.7036 0.0038  2 H 1.01-1.02
O 0.2513 0.2739 0.2361  2 H 1.02
O 0.7487 0.2261 0.7361  2 H 1.02
O 0.2205 0.0000 0.9417  1 P 1.55, 3 H 1.56-1.69
O 0.6717 0.5000 0.2080  2 H 1.00
O 0.5462 0.7964 0.5038  2 H 1.01-1.02
O 0.8614 0.8150 0.9579  1 P 1.55, 3 H 1.57-1.62
O 0.3283 0.0000 0.7080  2 H 1.00
H 0.4996 0.8781 0.2451  1 N 1.05
H 0.8521 0.3242 0.6978  1 O 1.02
H 0.8115 0.5000 0.1593  1 O 1.00
H 0.6408 0.6805 0.4804  1 O 1.02
H 0.8020 0.7943 0.8217  1 O 1.02
H 0.1980 0.2943 0.3217  1 O 1.02
H 0.9702 0.3808 0.0097  1 O 1.02
H 0.0298 0.8808 0.5097  1 O 1.02
H 0.1479 0.8242 0.1978  1 O 1.02
H 0.2509 0.5000 0.7186  1 N 1.05
H 0.2829 0.0000 0.7944  1 O 1.00
H 0.5004 0.3781 0.7451  1 N 1.05
H 0.6408 0.3195 0.4804  1 O 1.02
H 0.6124 0.2518 0.9936  1 O 1.01
H 0.8020 0.2057 0.8217  1 O 1.02
H 0.9702 0.6192 0.0097  1 O 1.02
H 0.3876 0.2482 0.4936  1 O 1.01
H 0.6189 0.0000 0.3577  1 N 1.04
H 0.5004 0.6219 0.7451  1 N 1.05
H 0.3811 0.5000 0.8577  1 N 1.04
H 0.7171 0.5000 0.2944  1 O 1.00
H 0.1479 0.1758 0.1978  1 O 1.02
H 0.1980 0.7057 0.3217  1 O 1.02
H 0.8521 0.6758 0.6978  1 O 1.02
H 0.3876 0.7518 0.4936  1 O 1.01
H 0.7491 0.0000 0.2186  1 N 1.05
H 0.6124 0.7482 0.9936  1 O 1.01
H 0.0298 0.1192 0.5097  1 O 1.02
H 0.3592 0.8195 0.9804  1 O 1.02
H 0.4996 0.1219 0.2451  1 N 1.05
H 0.3592 0.1805 0.9804  1 O 1.02
H 0.1885 0.0000 0.6593  1 O 1.00
Mg 0.3570 0.5000 0.1272  6 O 2.06-2.15
Mg 0.6430 0.0000 0.6272  6 O 2.06-2.15
N 0.4031 0.5000 0.7654  4 H 1.04-1.05
N 0.5969 0.0000 0.2654  4 H 1.04-1.05



Record 3
Here is a PBEsol-optimized structure of Y2BiAu2 from Alexandria via LeMat-Bulk. Energies are from SCAN.

Computed properties:
For the total energy, the calculation gives -555.648 eV per cell. The calculation puts the formation enthalpy at 0 K at -1.049 eV/atom. As for the volume: 236.7 Å³/cell.

Cell lengths 3.8494, 7.8423, 7.8423 Å; angles 90.00, 90.00, 90.00 degrees
Closest atoms and distances in Å follow each position.
Positions (direct):
Bi 0.0000 0.5000 0.5000  4 Au 3.10
Bi 0.0000 0.0000 0.0000  4 Au 3.10
Au 0.0000 0.8744 0.6256  1 Au 2.79, 6 Y 2.99-3.02, 2 Bi 3.10
Au 0.0000 0.3744 0.8744  1 Au 2.79, 6 Y 2.99-3.02, 2 Bi 3.10
Au 0.0000 0.6256 0.1256  1 Au 2.79, 6 Y 2.99-3.02, 2 Bi 3.10
Au 0.0000 0.1256 0.3744  1 Au 2.79, 6 Y 2.99-3.02, 2 Bi 3.10
Y 0.5000 0.6684 0.8316  6 Au 2.99-3.02
Y 0.5000 0.1684 0.6684  6 Au 2.99-3.02
Y 0.5000 0.8316 0.3316  6 Au 2.99-3.02
Y 0.5000 0.3316 0.1684  6 Au 2.99-3.02



Record 4
Here is a PBEsol-optimized structure of Fe3C from Alexandria via LeMat-Bulk. Energies are from SCAN.

Computed properties:
For the total energy, the calculation gives -128.323 eV per cell. The calculation puts the formation enthalpy at 0 K at 0.082 eV/atom. As for the volume: 76.7 Å³/cell.

Cell lengths 4.2475, 4.5663, 4.5663 Å; angles 120.00, 90.00, 90.00 degrees
Closest atoms and distances in Å follow each position.
Positions (direct):
Fe 0.5000 0.0000 0.6803  2 C 1.88
Fe 0.0000 0.6803 0.6803  2 C 1.88
Fe 0.0000 0.3197 0.0000  2 C 1.88
Fe 0.0000 0.0000 0.3197  2 C 1.88
Fe 0.5000 0.3197 0.3197  2 C 1.88
Fe 0.5000 0.6803 0.0000  2 C 1.88
C 0.7500 0.6667 0.3333  6 Fe 1.88
C 0.2500 0.3333 0.6667  6 Fe 1.88